# 1
A plane-wave DFT calculation with PBE-GGA was carried out for a relaxed BaNaSr2I crystal.

Geometry as POSCAR:
```
BaNaSr2I
1.0
7.017 0.000 0.000
0.000 7.017 0.000
0.000 0.000 5.841
Ba Na Sr I
1 1 2 1
Direct
0.000 0.000 0.000
0.500 0.500 0.500
0.000 0.500 0.500
0.500 0.000 0.500
0.500 0.500 0.000
```

VASP energy   -1.672 eV per atom
Raw formation energy   -0.041 eV per atom

***

# 2
A plane-wave DFT calculation with PBE-GGA was carried out for a relaxed Ba2NaSrI6 crystal.

Geometry as POSCAR:
```
Ba2NaSrI6
1.0
8.111 0.000 0.000
0.000 8.111 0.000
0.000 0.000 7.903
Ba Na Sr I
2 1 1 6
Direct
0.000 0.500 0.000
0.500 0.000 0.000
0.000 0.000 0.545
0.500 0.500 0.551
0.000 0.000 0.160
0.247 0.247 0.738
0.247 0.753 0.738
0.500 0.500 0.148
0.753 0.247 0.738
0.753 0.753 0.738
```

VASP energy   -3.007 eV per atom
Raw formation energy   -1.393 eV per atom

***

# 3
A plane-wave DFT calculation with PBE-GGA was carried out for a relaxed BaNaTbI6 crystal.

Geometry as POSCAR:
```
BaNaTbI6
1.0
8.108 0.000 0.000
-4.054 7.022 0.000
0.000 0.000 14.841
Ba Na Tb I
2 2 2 12
Direct
0.000 0.000 0.000
0.000 0.000 0.500
0.333 0.667 0.250
0.667 0.333 0.750
0.333 0.667 0.750
0.667 0.333 0.250
0.017 0.367 0.631
0.017 0.650 0.869
0.350 0.367 0.869
0.350 0.983 0.631
0.367 0.017 0.131
0.367 0.350 0.369
0.633 0.650 0.631
0.633 0.983 0.869
0.650 0.017 0.369
0.650 0.633 0.131
0.983 0.350 0.131
0.983 0.633 0.369
```

VASP energy   -3.381 eV per atom
Raw formation energy   -1.473 eV per atom

***

# 4
A plane-wave DFT calculation with PBE-GGA was carried out for a relaxed BaNa2TeI crystal.

Geometry as POSCAR:
```
BaNa2TeI
1.0
7.105 0.000 0.000
0.000 7.105 0.000
0.000 0.000 6.227
Ba Na Te I
1 2 1 1
Direct
0.000 0.000 0.000
0.000 0.500 0.000
0.500 0.000 0.000
0.500 0.500 0.500
0.000 0.000 0.500
```

VASP energy   -1.814 eV per atom
Raw formation energy   0.037 eV per atom

***

# 5
A plane-wave DFT calculation with PBE-GGA was carried out for a relaxed BaNaTe2I crystal.

Geometry as POSCAR:
```
BaNaTe2I
1.0
6.664 0.000 0.000
0.000 6.664 0.000
0.000 0.000 6.742
Ba Na Te I
1 1 2 1
Direct
0.000 0.000 0.000
0.500 0.500 0.500
0.000 0.500 0.000
0.500 0.000 0.000
0.000 0.000 0.500
```

VASP energy   -2.716 eV per atom
Raw formation energy   -0.501 eV per atom
Excess energy over the best structure of this formula in the dataset   231.9 meV/atom

***

# 6
A plane-wave DFT calculation with PBE-GGA was carried out for a relaxed BaNaTe2I crystal.

Geometry as POSCAR:
```
BaNaTe2I
1.0
5.531 0.000 0.000
0.000 5.531 0.000
0.000 0.000 6.285
Ba Na Te I
1 1 2 1
Direct
0.000 0.000 0.000
0.500 0.500 0.500
0.000 0.500 0.500
0.500 0.000 0.500
0.500 0.500 0.000
```

VASP energy   -2.948 eV per atom
Raw formation energy   -0.733 eV per atom
Excess energy over the best structure of this formula in the dataset   0.0 meV/atom

***

# 7
A plane-wave DFT calculation with PBE-GGA was carried out for a relaxed BaNa2ThI8 crystal.

Geometry as POSCAR:
```
BaNa2ThI8
1.0
7.530 0.000 0.000
0.000 9.920 0.000
-0.448 0.000 7.846
Ba Na Th I
1 2 1 8
Direct
0.000 0.000 0.000
0.500 0.239 0.500
0.500 0.761 0.500
0.000 0.500 0.000
0.231 0.280 0.842
0.231 0.720 0.842
0.256 0.500 0.320
0.268 0.000 0.355
0.732 0.000 0.645
0.744 0.500 0.680
0.769 0.280 0.158
0.769 0.720 0.158
```

VASP energy   -3.367 eV per atom
Raw formation energy   -1.335 eV per atom

***

# 8
A plane-wave DFT calculation with PBE-GGA was carried out for a relaxed BaNaTl2I5 crystal.

Geometry as POSCAR:
```
BaNaTl2I5
1.0
2.500 -10.414 0.000
2.500 10.414 0.000
0.000 0.000 16.334
Ba Na Tl I
2 2 4 10
Direct
0.230 0.770 0.500
0.770 0.230 0.000
0.457 0.543 0.931
0.543 0.457 0.431
0.087 0.913 0.141
0.120 0.880 0.746
0.880 0.120 0.246
0.913 0.087 0.641
0.066 0.934 0.544
0.265 0.735 0.149
0.307 0.693 0.864
0.393 0.607 0.492
0.494 0.506 0.253
0.506 0.494 0.753
0.607 0.393 0.992
0.693 0.307 0.364
0.735 0.265 0.649
0.934 0.066 0.044
```

VASP energy   -2.884 eV per atom
Raw formation energy   -1.136 eV per atom

***

# 9
A plane-wave DFT calculation with PBE-GGA was carried out for a relaxed BaNaTmI6 crystal.

Geometry as POSCAR:
```
BaNaTmI6
1.0
8.071 0.000 0.000
-4.036 6.990 0.000
0.000 0.000 14.771
Ba Na Tm I
2 2 2 12
Direct
0.000 0.000 0.000
0.000 0.000 0.500
0.333 0.667 0.250
0.667 0.333 0.750
0.333 0.667 0.750
0.667 0.333 0.250
0.021 0.370 0.632
0.021 0.651 0.868
0.349 0.370 0.868
0.349 0.979 0.632
0.370 0.021 0.132
0.370 0.349 0.368
0.630 0.651 0.632
0.630 0.979 0.868
0.651 0.021 0.368
0.651 0.630 0.132
0.979 0.349 0.132
0.979 0.630 0.368
```

VASP energy   -3.349 eV per atom
Raw formation energy   -1.459 eV per atom

***

# 10
A plane-wave DFT calculation with PBE-GGA was carried out for a relaxed BaNaUI6 crystal.

Geometry as POSCAR:
```
BaNaUI6
1.0
8.152 0.000 0.000
-4.076 7.060 0.000
0.000 0.000 15.077
Ba Na U I
2 2 2 12
Direct
0.000 0.000 0.000
0.000 0.000 0.500
0.333 0.667 0.250
0.667 0.333 0.750
0.333 0.667 0.750
0.667 0.333 0.250
0.010 0.360 0.630
0.010 0.650 0.870
0.350 0.360 0.870
0.350 0.990 0.630
0.360 0.010 0.130
0.360 0.350 0.370
0.640 0.650 0.630
0.640 0.990 0.870
0.650 0.010 0.370
0.650 0.640 0.130
0.990 0.350 0.130
0.990 0.640 0.370
```

VASP energy   -3.855 eV per atom
Raw formation energy   -1.208 eV per atom

***

# 11
A plane-wave DFT calculation with PBE-GGA was carried out for a relaxed Ba2NaVI crystal.

Geometry as POSCAR:
```
Ba2NaVI
1.0
6.576 0.000 0.000
0.000 6.576 0.000
0.000 0.000 5.463
Ba Na V I
2 1 1 1
Direct
0.000 0.500 0.000
0.500 0.000 0.000
0.000 0.000 0.500
0.500 0.500 0.000
0.500 0.500 0.500
```

VASP energy   -2.912 eV per atom
Raw formation energy   0.255 eV per atom

***

# 12
A plane-wave DFT calculation with PBE-GGA was carried out for a relaxed BaNaYI6 crystal.

Geometry as POSCAR:
```
BaNaYI6
1.0
8.101 0.000 0.000
-4.050 7.016 0.000
0.000 0.000 14.826
Ba Na Y I
2 2 2 12
Direct
0.000 0.000 0.000
0.000 0.000 0.500
0.333 0.667 0.250
0.667 0.333 0.750
0.333 0.667 0.750
0.667 0.333 0.250
0.017 0.367 0.631
0.017 0.650 0.869
0.350 0.367 0.869
0.350 0.983 0.631
0.367 0.017 0.131
0.367 0.350 0.369
0.633 0.650 0.631
0.633 0.983 0.869
0.650 0.017 0.369
0.650 0.633 0.131
0.983 0.350 0.131
0.983 0.633 0.369
```

VASP energy   -3.586 eV per atom
Raw formation energy   -1.474 eV per atom

***

# 13
A plane-wave DFT calculation with PBE-GGA was carried out for a relaxed Ba2NaZrI crystal.

Geometry as POSCAR:
```
Ba2NaZrI
1.0
6.664 0.000 0.000
0.000 6.664 0.000
0.000 0.000 5.628
Ba Na Zr I
2 1 1 1
Direct
0.000 0.500 0.000
0.500 0.000 0.000
0.000 0.000 0.500
0.500 0.500 0.500
0.000 0.000 0.000
```

VASP energy   -2.759 eV per atom
Raw formation energy   0.294 eV per atom

***

# 14
A plane-wave DFT calculation with PBE-GGA was carried out for a relaxed BaNbI2 crystal.

Geometry as POSCAR:
```
BaNbI2
1.0
0.000 3.911 3.911
3.911 0.000 3.911
3.911 3.911 0.000
Ba Nb I
1 1 2
Direct
0.000 0.000 0.000
0.500 0.500 0.500
0.250 0.250 0.250
0.750 0.750 0.750
```

VASP energy   -3.659 eV per atom
Raw formation energy   0.115 eV per atom
Excess energy over the best structure of this formula in the dataset   144.9 meV/atom

***

# 15
A plane-wave DFT calculation with PBE-GGA was carried out for a relaxed Ba3NbI crystal.

Geometry as POSCAR:
```
Ba3NbI
1.0
6.125 0.000 0.000
0.000 6.125 0.000
0.000 0.000 6.125
Ba Nb I
3 1 1
Direct
0.000 0.000 0.500
0.000 0.500 0.000
0.500 0.000 0.000
0.000 0.000 0.000
0.500 0.500 0.500
```

VASP energy   -3.211 eV per atom
Raw formation energy   0.267 eV per atom
Excess energy over the best structure of this formula in the dataset   0.0 meV/atom

***

# 16
A plane-wave DFT calculation with PBE-GGA was carried out for a relaxed BaNb2I crystal.

Geometry as POSCAR:
```
BaNb2I
1.0
0.000 3.577 3.577
3.577 0.000 3.577
3.577 3.577 0.000
Ba Nb I
1 2 1
Direct
0.000 0.000 0.000
0.250 0.250 0.250
0.750 0.750 0.750
0.500 0.500 0.500
```

VASP energy   -4.721 eV per atom
Raw formation energy   1.182 eV per atom
Excess energy over the best structure of this formula in the dataset   53.4 meV/atom

***

# 17
A plane-wave DFT calculation with PBE-GGA was carried out for a relaxed BaNbI3 crystal.

Geometry as POSCAR:
```
BaNbI3
1.0
6.656 0.000 0.000
0.000 6.656 0.000
0.000 0.000 6.656
Ba Nb I
1 1 3
Direct
0.000 0.000 0.000
0.500 0.500 0.500
0.000 0.000 0.500
0.000 0.500 0.000
0.500 0.000 0.000
```

VASP energy   -3.174 eV per atom
Raw formation energy   0.155 eV per atom
Excess energy over the best structure of this formula in the dataset   621.9 meV/atom

***

# 18
A plane-wave DFT calculation with PBE-GGA was carried out for a relaxed Ba2NbI crystal.

Geometry as POSCAR:
```
Ba2NbI
1.0
0.000 4.301 4.301
4.301 0.000 4.301
4.301 4.301 0.000
Ba Nb I
2 1 1
Direct
0.250 0.250 0.250
0.750 0.750 0.750
0.000 0.000 0.000
0.500 0.500 0.500
```

VASP energy   -3.554 eV per atom
Raw formation energy   0.312 eV per atom
Excess energy over the best structure of this formula in the dataset   0.0 meV/atom

***

# 19
A plane-wave DFT calculation with PBE-GGA was carried out for a relaxed BaNb2I crystal.

Geometry as POSCAR:
```
BaNb2I
1.0
-4.293 4.293 3.121
4.293 -4.293 3.121
4.293 4.293 -3.121
Ba Nb I
2 4 2
Direct
0.000 0.000 0.000
0.750 0.250 0.500
0.198 0.125 0.573
0.375 0.802 0.927
0.552 0.625 0.427
0.875 0.448 0.073
0.250 0.750 0.500
0.500 0.500 0.000
```

VASP energy   -4.775 eV per atom
Raw formation energy   1.129 eV per atom
Excess energy over the best structure of this formula in the dataset   0.0 meV/atom

***

# 20
A plane-wave DFT calculation with PBE-GGA was carried out for a relaxed BaNbI2 crystal.

Geometry as POSCAR:
```
BaNbI2
1.0
-3.017 3.017 9.466
3.017 -3.017 9.466
3.017 3.017 -9.466
Ba Nb I
2 2 4
Direct
0.000 0.000 0.000
0.750 0.250 0.500
0.250 0.750 0.500
0.500 0.500 0.000
0.187 0.625 0.062
0.375 0.437 0.562
0.563 0.125 0.938
0.875 0.813 0.438
```

VASP energy   -3.803 eV per atom
Raw formation energy   -0.030 eV per atom
Excess energy over the best structure of this formula in the dataset   0.0 meV/atom

***

# 21
A plane-wave DFT calculation with PBE-GGA was carried out for a relaxed BaNbI3 crystal.

Geometry as POSCAR:
```
BaNbI3
1.0
5.762 0.000 0.000
0.000 5.762 0.000
0.000 0.000 5.762
Ba Nb I
1 1 3
Direct
0.000 0.000 0.000
0.500 0.500 0.500
0.000 0.500 0.500
0.500 0.000 0.500
0.500 0.500 0.000
```

VASP energy   -3.796 eV per atom
Raw formation energy   -0.467 eV per atom
Excess energy over the best structure of this formula in the dataset   0.0 meV/atom

***

# 22
A plane-wave DFT calculation with PBE-GGA was carried out for a relaxed Ba2NbI crystal.

Geometry as POSCAR:
```
Ba2NbI
1.0
-4.566 4.566 4.491
4.566 -4.566 4.491
4.566 4.566 -4.491
Ba Nb I
4 2 2
Direct
0.116 0.125 0.491
0.375 0.884 0.009
0.634 0.625 0.509
0.875 0.366 0.991
0.000 0.000 0.000
0.750 0.250 0.500
0.250 0.750 0.500
0.500 0.500 0.000
```

VASP energy   -3.446 eV per atom
Raw formation energy   0.421 eV per atom
Excess energy over the best structure of this formula in the dataset   108.9 meV/atom

***

# 23
A plane-wave DFT calculation with PBE-GGA was carried out for a relaxed BaNb2I4 crystal.

Geometry as POSCAR:
```
BaNb2I4
1.0
-3.362 3.362 7.256
3.362 -3.362 7.256
3.362 3.362 -7.256
Ba Nb I
1 2 4
Direct
0.000 0.000 0.000
0.429 0.429 0.000
0.571 0.571 0.000
0.000 0.500 0.500
0.235 0.235 0.000
0.500 0.000 0.500
0.765 0.765 0.000
```

VASP energy   -4.151 eV per atom
Raw formation energy   -0.114 eV per atom

***

# 24
A plane-wave DFT calculation with PBE-GGA was carried out for a relaxed BaNbRuI2 crystal.

Geometry as POSCAR:
```
BaNbRuI2
1.0
5.408 0.000 0.000
0.000 5.408 0.000
0.000 0.000 6.542
Ba Nb Ru I
1 1 1 2
Direct
0.000 0.000 0.000
0.000 0.000 0.500
0.500 0.500 0.000
0.000 0.500 0.500
0.500 0.000 0.500
```

VASP energy   -3.817 eV per atom
Raw formation energy   1.057 eV per atom

***

Number 1: density 2.67 g/cm³. Number 2: density 3.66 g/cm³. Number 3: density 4.25 g/cm³. Number 4: density 2.31 g/cm³. Number 5: density 3.01 g/cm³. Number 6: density 4.68 g/cm³. Number 7: density 4.05 g/cm³. Number 8: density 4.70 g/cm³. Number 9: density 4.35 g/cm³. Number 10: density 4.44 g/cm³. Number 11: density 3.34 g/cm³. Number 12: density 3.98 g/cm³. Number 13: density 3.43 g/cm³. Number 14: density 6.72 g/cm³. Number 15: density 4.57 g/cm³. Number 16: density 8.17 g/cm³. Number 17: density 3.44 g/cm³. Number 18: density 5.16 g/cm³. Number 19: density 6.50 g/cm³. Number 20: density 4.66 g/cm³. Number 21: density 5.30 g/cm³. Number 22: density 4.38 g/cm³. Number 23: density 4.21 g/cm³. Number 24: density 5.08 g/cm³.